(1)
DFT (PBE-GGA) results for crystalline RbCd2SbAu4 at its relaxed geometry.

```
RbCd2SbAu4
1.0
-1.320 4.840 1.441
-5.033 1.345 0.325
-2.249 -0.405 8.753
Au Cd Rb Sb
4 2 1 1
Cartesian
-6.418 4.969 5.789
-2.184 0.810 4.730
-4.344 2.079 7.942
-4.258 3.700 2.577
-6.461 4.164 8.454
-2.142 1.615 2.065
0.000 0.000 0.000
-4.301 2.890 5.260
```

Values from the calculation:
Magnetization in μB/f.u.: 0.000
V in Å³ per cell: 201.3
DOS at the Fermi energy in states/eV/f.u.: 2.4
Formation energy (no corrections) in eV per formula unit: -0.12
Final energy in hartree per atom: -0.0925

(2)
DFT (PBE-GGA) results for crystalline RbCdSbAu2 at its relaxed geometry.

```
RbCdSbAu2
1.0
-4.381 2.307 -0.532
-0.896 -2.637 -4.058
0.140 -3.850 5.456
Rb Au Sb Cd
1 2 1 1
Cartesian
-2.218 -3.565 2.806
-3.207 -0.479 1.019
-0.315 -0.505 0.398
-4.226 -2.716 -0.287
-1.368 -2.797 -0.865
```

Values from the calculation:
Magnetization in μB/f.u.: 0.000
V in Å³ per cell: 139.4
DOS at the Fermi energy in states/eV/f.u.: 1.3
Formation energy (no corrections) in eV per formula unit: -1.20
Final energy in hartree per atom: -0.1011

(3)
DFT (PBE-GGA) results for crystalline Rb2CdSiAu at its relaxed geometry.

```
Rb2CdSiAu
1.0
-6.647 0.979 -1.040
-1.388 -5.600 3.597
-0.230 2.541 3.866
Rb Au Si Cd
2 1 1 1
Cartesian
-3.323 0.490 -0.520
-0.694 -2.800 1.799
0.000 0.000 0.000
-0.115 1.270 1.933
-4.133 -1.040 3.212
```

Values from the calculation:
Magnetization in μB/f.u.: 0.000
V in Å³ per cell: 214.1
DOS at the Fermi energy in states/eV/f.u.: 2.3
Formation energy (no corrections) in eV per formula unit: 0.10
Final energy in hartree per atom: -0.0841

(4)
DFT (PBE-GGA) results for crystalline RbCd2SiAu at its relaxed geometry.

```
RbCd2SiAu
1.0
5.326 0.000 0.000
0.000 5.326 0.000
0.000 0.000 5.055
Si Rb Au Cd
1 1 1 2
Cartesian
0.000 0.000 0.000
2.663 2.663 2.527
0.000 0.000 2.527
2.663 0.000 0.000
0.000 2.663 0.000
```

Values from the calculation:
Magnetization in μB/f.u.: 0.000
V in Å³ per cell: 143.4
DOS at the Fermi energy in states/eV/f.u.: 1.8
Formation energy (no corrections) in eV per formula unit: 0.36
Final energy in hartree per atom: -0.0818

(5)
DFT (PBE-GGA) results for crystalline Rb2Cd4SnAu3 at its relaxed geometry.

```
Rb2Cd4SnAu3
1.0
-1.941 0.846 4.347
0.115 -4.735 0.973
11.180 1.248 4.749
Rb Au Cd Sn
2 3 4 1
Cartesian
1.772 0.729 3.338
8.496 -1.426 4.071
1.535 -2.203 1.114
5.590 0.624 2.374
8.733 1.506 6.295
0.000 0.000 0.000
4.105 -1.916 2.206
-0.913 -1.944 2.660
6.162 1.219 5.203
4.677 -1.320 5.035
```

Values from the calculation:
Magnetization in μB/f.u.: 0.000
V in Å³ per cell: 285.5
DOS at the Fermi energy in states/eV/f.u.: 1.8
Formation energy from the elements in meV/atom: -199.3
Final energy in hartree per atom: -0.0787

(6)
DFT (PBE-GGA) results for crystalline RbCdSn2Au4 at its relaxed geometry.

```
RbCdSn2Au4
1.0
-4.714 0.898 0.038
-3.027 -3.152 1.982
-1.572 4.151 10.008
Au Sn Rb Cd
4 2 1 1
Cartesian
-4.928 -0.370 3.502
-2.020 1.973 5.861
-7.293 -0.075 6.167
-4.385 2.268 8.526
-7.011 1.294 8.775
-2.301 0.604 3.253
0.000 0.000 0.000
-4.656 0.949 6.014
```

Values from the calculation:
Magnetization in μB/f.u.: 0.000
V in Å³ per cell: 211.2
DOS at the Fermi energy in states/eV/f.u.: 2.8
Formation energy from the elements in meV/atom: -181.9
Final energy in hartree per atom: -0.1123